VASP calculation (PBE-GGA) on a relaxed structure of CaThHg5.

a = 4.662 Å, b = 4.662 Å, c = 9.036 Å
α = 90.00°, β = 90.00°, γ = 90.00°
Fractional positions:
Th: 0.000 0.000 0.500
Hg: 0.500 0.500 0.500
Hg: 0.000 0.500 0.240
Hg: 0.000 0.500 0.760
Hg: 0.500 0.000 0.760
Hg: 0.500 0.000 0.240
Ca: 0.500 0.500 0.000

Computed properties:
uncorrected energy = -1.7636 eV/atom
formation enthalpy at 0 K = -0.20 eV per atom

=====

VASP calculation (PBE-GGA) on a relaxed structure of AlNiTe2.

a = 4.949 Å, b = 4.949 Å, c = 4.949 Å
α = 60.00°, β = 60.00°, γ = 60.00°
Fractional positions:
Al: 0.500 0.500 0.500
Te: 0.750 0.750 0.750
Te: 0.000 0.000 0.000
Ni: 0.250 0.250 0.250

Computed properties:
uncorrected energy = -3.4288 eV/atom
E_form (uncorrected) = 0.523 eV/atom